Computed, not measured: a relaxed structure of Tm2MnZn at the GGA-PBE level of DFT.

a b c (Å): 3.321 3.321 10.075
angles (deg): 80.51 80.51 60.00
Last column: magnetic moment on the atom in μB.
Sites, in units of the cell vectors:
Tm  0.897  0.897  0.309  -0.04
Tm  0.103  0.103  0.691  -0.04
Mn  0.500  0.500  0.500  0.34
Zn  0.000  0.000  0.000  0.00

Calculated values
energy of formation	0.481	eV/atom
excess energy over the best structure of this formula in the dataset	582.0	meV per atom
space group	R-3m (166)
final energy	-4.365	eV per atom
DOS at the Fermi energy	3.20	states/eV per cell